Ac2LaEu PBE relaxed; E_form = 14 kJ/mol of formula units; ΔE to the lowest computed polymorph = 0.022 eV/atom; total magnetization = 7.5 μB/f.u.; N(E_F) = 1.623 states/eV/atom; density = 7.430 g/cm3
1.0
5.5421 0.0000 0.0000
0.0000 5.5421 0.0000
0.0000 0.0000 5.4199
Ac La Eu
2 1 1
direct
0.0000 0.5000 0.0000
0.5000 0.0000 0.0000
0.0000 0.0000 0.5000
0.5000 0.5000 0.5000

AcLaEu2 PBE relaxed; E_form = 18 kJ/mol of formula units; ΔE to the lowest computed polymorph = 0.000 eV/atom; total magnetization = 15.2 μB/f.u.; N(E_F) = 1.252 states/eV/atom; density = 6.768 g/cm3
1.0
1.9328 1.1159 12.6999
-1.9328 1.1159 12.6999
0.0000 -2.2318 12.6999
Ac La Eu
1 1 2
direct
0.0000 0.0000 0.0000
0.5000 0.5000 0.5000
0.2485 0.2485 0.2485
0.7515 0.7515 0.7515

AcLaEu2 PBE relaxed; E_form = 28 kJ/mol of formula units; ΔE to the lowest computed polymorph = 0.027 eV/atom; total magnetization = 15.0 μB/f.u.; N(E_F) = 1.525 states/eV/atom; density = 6.754 g/cm3
1.0
3.8998 0.0000 0.0000
0.0000 3.8998 0.0000
0.0000 0.0000 10.8290
Ac La Eu
1 1 2
direct
0.0000 0.0000 0.0000
0.0000 0.0000 0.5000
0.5000 0.5000 0.2576
0.5000 0.5000 0.7424

Ac2LaEu PBE relaxed; E_form = 5 kJ/mol of formula units; ΔE to the lowest computed polymorph = 0.000 eV/atom; total magnetization = 7.7 μB/f.u.; N(E_F) = 1.434 states/eV/atom; density = 7.310 g/cm3
1.0
1.9613 1.1324 12.6985
-1.9613 1.1324 12.6985
0.0000 -2.2647 12.6985
Ac La Eu
2 1 1
direct
0.2481 0.2481 0.2481
0.7519 0.7519 0.7519
0.5000 0.5000 0.5000
0.0000 0.0000 0.0000

Ac2LaEu PBE relaxed; E_form = 6 kJ/mol of formula units; ΔE to the lowest computed polymorph = 0.003 eV/atom; total magnetization = 7.6 μB/f.u.; N(E_F) = 1.559 states/eV/atom; density = 7.315 g/cm3
1.0
3.9249 0.0000 0.0000
0.0000 3.9249 0.0000
0.0000 0.0000 10.9763
Ac La Eu
2 1 1
direct
0.0000 0.0000 0.2399
0.0000 0.0000 0.7601
0.5000 0.5000 0.0000
0.5000 0.5000 0.5000

Ac2LaEu PBE relaxed; E_form = 39 kJ/mol of formula units; ΔE to the lowest computed polymorph = 0.088 eV/atom; total magnetization = 8.4 μB/f.u.; N(E_F) = 1.563 states/eV/atom; density = 7.290 g/cm3
1.0
0.0000 4.3940 4.3940
4.3940 0.0000 4.3940
4.3940 4.3940 0.0000
Ac La Eu
2 1 1
direct
0.2500 0.2500 0.2500
0.7500 0.7500 0.7500
0.0000 0.0000 0.0000
0.5000 0.5000 0.5000